(1)
Mn2CoRe | PBE-GGA | relaxed

a = 2.914 Å, b = 2.914 Å, c = 5.935 Å
α = 90.00°, β = 90.00°, γ = 90.00°
Last column: magnetic moment on the atom in μB.
Positions (direct):
1 Re 0.500 0.500 0.500  -0.51
2 Mn 0.000 0.000 0.764  2.51
3 Mn 0.000 0.000 0.236  2.51
4 Co 0.500 0.500 0.000  1.59

Values from the calculation:
As for the formation energy: 0.0077 eV/atom. As for the calculated volume: 12.594 Å³/atom. As for the space group: P4/mmm, No. 123. Its crystal system is tetragonal. The uncorrected energy is -9.47 eV per atom.

(2)
BeIrPb2 | PBE-GGA | relaxed

a = 3.827 Å, b = 4.251 Å, c = 5.469 Å
α = 66.88°, β = 90.00°, γ = 90.00°
Positions (direct):
1 Pb 0.000 0.975 0.925
2 Pb 0.500 0.270 0.335
3 Be 0.000 0.684 0.507
4 Ir 0.500 0.571 0.732

Values from the calculation:
As for the formation energy: 0.1506 eV/atom. As for the calculated volume: 20.455 Å³/atom. As for the space group: Pm, No. 6. Its crystal system is monoclinic. The uncorrected energy is -4.85 eV per atom.

(3)
Al2ReTcSb | PBE-GGA | relaxed

a = 4.739 Å, b = 4.774 Å, c = 4.739 Å
α = 90.00°, β = 90.00°, γ = 90.00°
Last column: magnetic moment on the atom in μB.
Positions (direct):
1 Re 0.000 0.500 0.000  1.04
2 Al 0.000 0.000 0.500  -0.01
3 Al 0.500 0.000 0.000  0.00
4 Tc 0.000 0.000 0.000  -0.05
5 Sb 0.500 0.500 0.500  -0.02

Values from the calculation:
As for the calculated volume: 21.447 Å³/atom. As for the space group: P4/mmm, No. 123. Its crystal system is tetragonal. The value obtained for the energy relative to the elements, uncorrected is 0.83 eV per atom. The uncorrected energy is -6.06 eV per atom.

(4)
Be2NbI8 | PBE-GGA | relaxed

a = 6.610 Å, b = 8.578 Å, c = 8.578 Å
α = 71.24°, β = 88.00°, γ = 88.00°
Last column: magnetic moment on the atom in μB.
Positions (direct):
1 Be 0.372 0.176 0.176  0.01
2 Be 0.628 0.824 0.824  0.01
3 Nb 0.000 0.000 0.000  0.93
4 I 0.752 0.723 0.107  -0.01
5 I 0.752 0.107 0.723  -0.01
6 I 0.248 0.277 0.893  -0.01
7 I 0.726 0.664 0.664  -0.01
8 I 0.248 0.893 0.277  -0.01
9 I 0.750 0.170 0.170  -0.02
10 I 0.250 0.830 0.830  -0.02
11 I 0.274 0.336 0.336  -0.01

Values from the calculation:
As for the calculated volume: 41.827 Å³/atom. As for the space group: C2/m, No. 12. Its crystal system is monoclinic. The value obtained for the energy relative to the elements, uncorrected is -0.44 eV per atom. The uncorrected energy is -3.16 eV per atom.

(5)
Ho2Zn5Ru5 | PBE-GGA | relaxed

a = 4.203 Å, b = 5.180 Å, c = 9.268 Å
α = 90.00°, β = 90.00°, γ = 90.00°
Positions (direct):
1 Ho 0.000 0.500 0.000
2 Ho 0.000 0.000 0.500
3 Zn 0.000 0.500 0.334
4 Zn 0.000 0.000 0.831
5 Zn 0.000 0.000 0.169
6 Zn 0.000 0.500 0.666
7 Zn 0.500 0.000 0.000
8 Ru 0.500 0.500 0.500
9 Ru 0.500 0.754 0.250
10 Ru 0.500 0.246 0.750
11 Ru 0.500 0.246 0.250
12 Ru 0.500 0.754 0.750

Values from the calculation:
As for the formation energy: -0.1584 eV/atom. As for the calculated volume: 16.814 Å³/atom. As for the space group: Pmmm, No. 47. Its crystal system is orthorhombic. The uncorrected energy is -5.32 eV per atom.

(6)
KIr2W | PBE-GGA | relaxed

a = 3.824 Å, b = 3.824 Å, c = 8.487 Å
α = 87.65°, β = 87.65°, γ = 42.83°
Positions (direct):
1 Ir 0.992 0.992 0.066
2 Ir 0.508 0.508 0.434
3 K 0.750 0.750 0.750
4 W 0.250 0.250 0.250

Values from the calculation:
As for the formation energy: 0.4918 eV/atom. As for the calculated volume: 21.075 Å³/atom. As for the space group: C2/m, No. 12. The energy above the most stable polymorph in this dataset comes out at 214 meV/atom. Its crystal system is monoclinic. The uncorrected energy is -7.45 eV per atom.

(7)
FeAg2S2 | PBE-GGA | relaxed

a = 7.170 Å, b = 7.170 Å, c = 3.441 Å
α = 90.00°, β = 90.00°, γ = 90.00°
Last column: magnetic moment on the atom in μB.
Positions (direct):
1 S 0.177 0.677 0.500  0.12
2 S 0.677 0.823 0.500  0.12
3 S 0.823 0.323 0.500  0.12
4 S 0.323 0.177 0.500  0.12
5 Fe 0.000 0.000 0.000  3.24
6 Fe 0.500 0.500 0.000  3.23
7 Ag 0.365 0.865 0.000  0.03
8 Ag 0.865 0.635 0.000  0.03
9 Ag 0.635 0.135 0.000  0.03
10 Ag 0.135 0.365 0.000  0.03

Values from the calculation:
As for the calculated volume: 17.690 Å³/atom. As for the space group: P4/mbm, No. 127. The energy above the most stable polymorph in this dataset comes out at 0 meV/atom. Its crystal system is tetragonal. The value obtained for the energy relative to the elements, uncorrected is 0.47 eV per atom. The uncorrected energy is -4.01 eV per atom.

(8)
SrTb4Pr | PBE-GGA | relaxed

a = 6.808 Å, b = 6.808 Å, c = 6.808 Å
α = 60.00°, β = 60.00°, γ = 60.00°
Positions (direct):
1 Pr 0.000 0.000 0.000
2 Sr 0.250 0.250 0.250
3 Tb 0.628 0.628 0.117
4 Tb 0.628 0.117 0.628
5 Tb 0.628 0.628 0.628
6 Tb 0.117 0.628 0.628

Values from the calculation:
As for the formation energy: 0.2468 eV/atom. As for the calculated volume: 37.195 Å³/atom. As for the space group: F-43m, No. 216. Its crystal system is cubic. The uncorrected energy is -3.92 eV per atom.

(9)
Hf2PAuF | PBE-GGA | relaxed

a = 5.158 Å, b = 4.202 Å, c = 5.158 Å
α = 90.00°, β = 90.00°, γ = 90.00°
Positions (direct):
1 Hf 0.000 0.000 0.500
2 Hf 0.500 0.000 0.000
3 F 0.000 0.500 0.000
4 Au 0.000 0.000 0.000
5 P 0.500 0.500 0.500

Values from the calculation:
As for the calculated volume: 22.356 Å³/atom. As for the space group: P4/mmm, No. 123. Its crystal system is tetragonal. The value obtained for the energy relative to the elements, uncorrected is 0.37 eV per atom. The uncorrected energy is -5.72 eV per atom.

(10)
YZnOs3 | PBE-GGA | relaxed

a = 4.564 Å, b = 4.564 Å, c = 4.564 Å
α = 90.00°, β = 90.00°, γ = 90.00°
Last column: magnetic moment on the atom in μB.
Positions (direct):
1 Y 0.500 0.500 0.500  0.03
2 Zn 0.000 0.000 0.000  0.02
3 Os 0.000 0.500 0.000  0.37
4 Os 0.000 0.000 0.500  0.31
5 Os 0.500 0.000 0.000  0.26

Values from the calculation:
As for the formation energy: 1.2770 eV/atom. As for the calculated volume: 19.013 Å³/atom. As for the space group: Pm-3m, No. 221. The energy above the most stable polymorph in this dataset comes out at 0 meV/atom. Its crystal system is cubic. The uncorrected energy is -7.01 eV per atom.

(11)
Li2NdGa2Sn2 | PBE-GGA | relaxed

a = 4.649 Å, b = 4.649 Å, c = 8.672 Å
α = 74.45°, β = 74.45°, γ = 60.00°
Positions (direct):
1 Li 0.140 0.140 0.579
2 Li 0.860 0.860 0.421
3 Nd 0.000 0.000 0.000
4 Ga 0.555 0.555 0.336
5 Ga 0.445 0.445 0.664
6 Sn 0.743 0.743 0.772
7 Sn 0.257 0.257 0.228

Values from the calculation:
As for the formation energy: -0.3864 eV/atom. As for the calculated volume: 22.049 Å³/atom. As for the space group: R-3m, No. 166. Its crystal system is trigonal. The uncorrected energy is -3.62 eV per atom.

(12)
PaTcB | PBE-GGA | relaxed

a = 3.907 Å, b = 3.815 Å, c = 3.815 Å
α = 120.00°, β = 90.00°, γ = 90.00°
Positions (direct):
1 B 0.833 0.000 0.000
2 Pa 0.333 0.333 0.667
3 Tc 0.833 0.667 0.333

Values from the calculation:
As for the formation energy: -0.1942 eV/atom. As for the calculated volume: 16.410 Å³/atom. As for the space group: P-6m2, No. 187. The energy above the most stable polymorph in this dataset comes out at 0 meV/atom. Its crystal system is hexagonal. The uncorrected energy is -9.04 eV per atom.

(13)
LiCd6Pd | PBE-GGA | relaxed

a = 4.613 Å, b = 5.995 Å, c = 5.995 Å
α = 103.11°, β = 90.00°, γ = 90.00°
Positions (direct):
1 Li 0.500 0.114 0.886
2 Cd 0.500 0.175 0.385
3 Cd 0.500 0.615 0.825
4 Cd 0.000 0.400 0.188
5 Cd 0.000 0.812 0.600
6 Cd 0.000 0.311 0.689
7 Cd 0.000 0.888 0.112
8 Pd 0.500 0.685 0.315

Values from the calculation:
As for the formation energy: -0.1759 eV/atom. As for the calculated volume: 20.183 Å³/atom. As for the space group: Amm2, No. 38. The energy above the most stable polymorph in this dataset comes out at 0 meV/atom. Its crystal system is orthorhombic. The uncorrected energy is -1.75 eV per atom.

(14)
PrNd2DyY5 | PBE-GGA | relaxed

a = 8.675 Å, b = 8.675 Å, c = 10.021 Å
α = 115.65°, β = 115.65°, γ = 90.00°
Positions (direct):
1 Pr 0.250 0.750 0.500
2 Pr 0.750 0.250 0.500
3 Nd 0.119 0.381 0.000
4 Nd 0.619 0.119 0.000
5 Nd 0.381 0.881 0.000
6 Nd 0.881 0.619 0.000
7 Dy 0.250 0.250 0.500
8 Dy 0.750 0.750 0.500
9 Y 0.930 0.430 0.277
10 Y 0.654 0.154 0.723
11 Y 0.070 0.570 0.723
12 Y 0.154 0.070 0.723
13 Y 0.570 0.654 0.723
14 Y 0.846 0.930 0.277
15 Y 0.430 0.346 0.277
16 Y 0.346 0.846 0.277
17 Y 0.500 0.500 0.000
18 Y 0.000 0.000 0.000

Values from the calculation:
As for the formation energy: 0.2408 eV/atom. As for the calculated volume: 33.126 Å³/atom. As for the space group: I4/mcm, No. 140. Its crystal system is tetragonal. The uncorrected energy is -5.45 eV per atom.

(15)
HfCrSeS2 | PBE-GGA | relaxed

a = 4.189 Å, b = 5.562 Å, c = 4.189 Å
α = 90.00°, β = 90.00°, γ = 90.00°
Positions (direct):
1 Cr 0.000 0.000 0.000
2 S 0.000 0.000 0.500
3 S 0.500 0.000 0.000
4 Hf 0.000 0.500 0.000
5 Se 0.500 0.500 0.500

Values from the calculation:
As for the calculated volume: 19.516 Å³/atom. As for the space group: P4/mmm, No. 123. Its crystal system is tetragonal. The value obtained for the energy relative to the elements, uncorrected is -0.14 eV per atom. The uncorrected energy is -6.41 eV per atom.

(16)
TbNdZnAg | PBE-GGA | relaxed

a = 3.667 Å, b = 3.667 Å, c = 7.333 Å
α = 90.00°, β = 90.00°, γ = 90.00°
Positions (direct):
1 Tb 0.000 0.000 0.363
2 Nd 0.000 0.000 0.847
3 Zn 0.500 0.500 0.594
4 Ag 0.500 0.500 0.124

Values from the calculation:
As for the formation energy: -0.3097 eV/atom. As for the calculated volume: 24.655 Å³/atom. As for the space group: P4mm, No. 99. The energy above the most stable polymorph in this dataset comes out at 0 meV/atom. Its crystal system is tetragonal. The uncorrected energy is -3.69 eV per atom.

(17)
CaNdIn2 | PBE-GGA | relaxed

a = 3.836 Å, b = 3.836 Å, c = 7.843 Å
α = 90.00°, β = 90.00°, γ = 90.00°
Positions (direct):
1 Ca 0.500 0.500 0.500
2 Nd 0.500 0.500 0.000
3 In 0.000 0.000 0.745
4 In 0.000 0.000 0.255

Values from the calculation:
As for the formation energy: -0.4813 eV/atom. As for the calculated volume: 28.847 Å³/atom. As for the space group: P4/mmm, No. 123. Its crystal system is tetragonal. The uncorrected energy is -3.54 eV per atom.

(18)
Tb3CoNi3 | PBE-GGA | relaxed

a = 3.888 Å, b = 5.483 Å, c = 13.533 Å
α = 89.85°, β = 81.74°, γ = 69.23°
Positions (direct):
1 Tb 0.583 0.237 0.598
2 Tb 0.417 0.763 0.402
3 Tb 0.228 0.316 0.228
4 Tb 0.772 0.684 0.772
5 Tb 0.404 0.269 0.923
6 Tb 0.596 0.731 0.077
7 Co 0.728 0.171 0.372
8 Co 0.272 0.829 0.628
9 Ni 0.886 0.666 0.561
10 Ni 0.114 0.334 0.439
11 Ni 0.114 0.849 0.924
12 Ni 0.886 0.151 0.076
13 Ni 0.941 0.888 0.229
14 Ni 0.059 0.112 0.771

Values from the calculation:
As for the formation energy: -0.3465 eV/atom. As for the calculated volume: 19.044 Å³/atom. As for the space group: C2/m, No. 12. Its crystal system is monoclinic. The uncorrected energy is -5.82 eV per atom.

(19)
CeNdSe2Cl | PBE-GGA | relaxed

a = 4.243 Å, b = 4.243 Å, c = 14.148 Å
α = 90.00°, β = 90.00°, γ = 90.00°
Last column: magnetic moment on the atom in μB.
Positions (direct):
1 Ce 0.500 0.000 0.094  0.93
2 Ce 0.000 0.500 0.906  0.93
3 Nd 0.500 0.000 0.646  0.01
4 Nd 0.000 0.500 0.354  0.01
5 Se 0.000 0.500 0.698  -0.01
6 Se 0.000 0.500 0.121  -0.02
7 Se 0.500 0.000 0.879  -0.02
8 Se 0.500 0.000 0.302  -0.01
9 Cl 0.000 0.000 0.500  0.00
10 Cl 0.500 0.500 0.500  0.00

Values from the calculation:
As for the calculated volume: 25.473 Å³/atom. As for the space group: P4/nmm, No. 129. Its crystal system is tetragonal. The value obtained for the energy relative to the elements, uncorrected is -1.88 eV per atom. The uncorrected energy is -5.78 eV per atom.

(20)
CaLaGe | PBE-GGA | relaxed

a = 5.126 Å, b = 5.126 Å, c = 5.126 Å
α = 60.00°, β = 60.00°, γ = 60.00°
Positions (direct):
1 Ge 0.250 0.250 0.250
2 Ca 0.500 0.500 0.500
3 La 0.000 0.000 0.000

Values from the calculation:
As for the formation energy: -0.5698 eV/atom. As for the calculated volume: 31.752 Å³/atom. As for the space group: F-43m, No. 216. Its crystal system is cubic. The uncorrected energy is -4.42 eV per atom.